This record from Alexandria via LeMat-Bulk describes crystalline Ba3PuCd2O6 at its relaxed geometry. The functional is PBE-GGA.

Properties
SG: P-3m1, No. 164
Raw formation energy: -2.175 eV per atom
Total moment: 2.6 μB per formula unit
Crystal system: trigonal

Cell and atoms, written as POSCAR:
```
Ba3PuCd2O6
1.0
6.1615 0.0000 0.0000
-3.0807 5.3360 0.0000
0.0000 0.0000 7.2608
Ba Pu Cd O
3 1 2 6
Cartesian
0.0000 0.0000 0.0000 Ba
0.0000 3.5573 4.5207 Ba
3.0807 1.7787 2.7401 Ba
0.0000 0.0000 3.6304 Pu
0.0000 3.5573 0.8905 Cd
3.0807 1.7787 6.3703 Cd
0.0000 1.7123 2.3960 O
-1.5979 4.4799 2.3960 O
1.4829 0.8561 4.8648 O
1.5979 4.4799 2.3960 O
4.6786 0.8561 4.8648 O
3.0807 3.6237 4.8648 O
```